No. 1
Below is a relaxed structure of InTcOs2, with properties calculated at the PBE level.

As for the spin magnetization: 0.0 μB/f.u. Its total energy is -8.351 eV/atom. Its symmetry is Cmmm, No. 65.

a = 4.849 Å, b = 4.849 Å, c = 2.846 Å
α = 90.00°, β = 90.00°, γ = 109.86°
Fractional coordinates of all 4 atoms:
In: 0.000 0.500 0.500
Os: 0.000 0.000 0.000
Os: 0.500 0.500 0.000
Tc: 0.500 0.000 0.500

---

No. 2
Below is a relaxed structure of NaScGaCu2, with properties calculated at the PBE level.

As for the spin magnetization: 1.0 μB/f.u. Its total energy is -3.400 eV/atom. Its symmetry is P4/mmm, No. 123.

a = 4.669 Å, b = 5.111 Å, c = 4.669 Å
α = 90.00°, β = 90.00°, γ = 90.00°
Fractional coordinates of all 5 atoms:
Sc: 0.000 0.500 0.000
Na: 0.500 0.500 0.500
Cu: 0.000 0.000 0.500
Cu: 0.500 0.000 0.000
Ga: 0.000 0.000 0.000

---

No. 3
Below is a relaxed structure of Sr2TlCd2, with properties calculated at the PBE level.

As for the spin magnetization: 0.0 μB/f.u. As for the energy above the most stable polymorph in this dataset: 115 meV/atom. Its symmetry is I4/mmm, No. 139.

a = 4.184 Å, b = 4.184 Å, c = 10.293 Å
α = 78.27°, β = 78.27°, γ = 90.00°
Fractional coordinates of all 5 atoms:
Sr: 0.400 0.400 0.201
Sr: 0.600 0.600 0.799
Tl: 0.000 0.000 0.000
Cd: 0.750 0.250 0.500
Cd: 0.250 0.750 0.500

---

No. 4
Below is a relaxed structure of NaLiSn2Pb, with properties calculated at the PBE level.

As for the spin magnetization: 0.0 μB/f.u. Its total energy is -3.124 eV/atom. Its symmetry is P2_1/m, No. 11.

a = 4.479 Å, b = 9.704 Å, c = 7.189 Å
α = 112.61°, β = 90.00°, γ = 90.00°
Fractional coordinates of all 10 atoms:
Na: 0.250 0.157 0.231
Na: 0.750 0.843 0.769
Li: 0.250 0.711 0.378
Li: 0.750 0.289 0.622
Sn: 0.750 0.960 0.358
Sn: 0.250 0.040 0.642
Sn: 0.750 0.458 0.343
Sn: 0.250 0.542 0.657
Pb: 0.250 0.366 0.965
Pb: 0.750 0.634 0.035

---

No. 5
Below is a relaxed structure of Cr5C, with properties calculated at the PBE level.

As for the spin magnetization: 0.0 μB/f.u. As for the energy above the most stable polymorph in this dataset: 1156 meV/atom. Its symmetry is P6/mmm, No. 191.

a = 4.316 Å, b = 4.316 Å, c = 4.516 Å
α = 90.00°, β = 90.00°, γ = 120.00°
Fractional coordinates of all 6 atoms:
Cr: 0.333 0.667 0.000
Cr: 0.667 0.333 0.000
Cr: 0.500 0.000 0.500
Cr: 0.000 0.500 0.500
Cr: 0.500 0.500 0.500
C: 0.000 0.000 0.000

---

No. 6
Below is a relaxed structure of Cu2IrPt, with properties calculated at the PBE level.

As for the spin magnetization: 0.0 μB/f.u. As for the energy above the most stable polymorph in this dataset: 102 meV/atom. Its symmetry is Pmmm, No. 47.

a = 2.713 Å, b = 4.646 Å, c = 4.440 Å
α = 90.00°, β = 90.00°, γ = 90.00°
Fractional coordinates of all 4 atoms:
Cu: 0.000 0.000 0.000
Cu: 0.500 0.500 0.000
Ir: 0.500 0.000 0.500
Pt: 0.000 0.500 0.500

---

No. 7
Below is a relaxed structure of Pr2Sm3Dy8, with properties calculated at the PBE level.

As for the spin magnetization: 0.0 μB/f.u. As for the energy above the most stable polymorph in this dataset: 0 meV/atom. Its symmetry is C2/m, No. 12.

a = 6.957 Å, b = 9.549 Å, c = 9.549 Å
α = 57.63°, β = 61.15°, γ = 61.15°
Fractional coordinates of all 13 atoms:
Pr: 0.479 0.220 0.220
Pr: 0.521 0.780 0.780
Sm: 0.500 0.000 0.000
Sm: 0.000 0.175 0.825
Sm: 0.000 0.825 0.175
Dy: 0.071 0.580 0.580
Dy: 0.929 0.420 0.420
Dy: 0.009 0.191 0.191
Dy: 0.991 0.809 0.809
Dy: 0.565 0.563 0.199
Dy: 0.565 0.199 0.563
Dy: 0.435 0.801 0.437
Dy: 0.435 0.437 0.801

---

No. 8
Below is a relaxed structure of InRuSN2, with properties calculated at the PBE level.

As for the spin magnetization: 5.9 μB/f.u. As for the energy above the most stable polymorph in this dataset: 1384 meV/atom. Its symmetry is P4/mmm, No. 123. As for the energy relative to the elements, uncorrected: 1.967 eV per atom.

a = 4.076 Å, b = 4.076 Å, c = 5.507 Å
α = 90.00°, β = 90.00°, γ = 90.00°
Fractional coordinates of all 5 atoms:
Ru: 0.500 0.500 0.500
S: 0.000 0.000 0.500
N: 0.000 0.500 0.000
N: 0.500 0.000 0.000
In: 0.000 0.000 0.000

---

No. 9
Below is a relaxed structure of AcPr6Y8, with properties calculated at the PBE level.

As for the spin magnetization: 0.0 μB/f.u. As for the energy above the most stable polymorph in this dataset: 0 meV/atom. Its symmetry is R-3, No. 148.

a = 9.189 Å, b = 9.189 Å, c = 8.916 Å
α = 58.98°, β = 58.98°, γ = 60.00°
Fractional coordinates of all 15 atoms:
Ac: 0.000 0.000 0.000
Pr: 0.095 0.532 0.136
Pr: 0.762 0.905 0.864
Pr: 0.468 0.762 0.864
Pr: 0.532 0.238 0.136
Pr: 0.238 0.095 0.136
Pr: 0.905 0.468 0.864
Y: 0.886 0.293 0.580
Y: 0.759 0.114 0.420
Y: 0.707 0.759 0.420
Y: 0.422 0.422 0.733
Y: 0.578 0.578 0.267
Y: 0.293 0.241 0.580
Y: 0.241 0.886 0.580
Y: 0.114 0.707 0.420

---

No. 10
Below is a relaxed structure of CeHo2Se4, with properties calculated at the PBE level.

As for the spin magnetization: 1.3 μB/f.u. As for the energy above the most stable polymorph in this dataset: 0 meV/atom. Its symmetry is Pnma, No. 62. As for the energy relative to the elements, uncorrected: -1.856 eV per atom.

a = 4.037 Å, b = 13.611 Å, c = 13.632 Å
α = 90.00°, β = 90.00°, γ = 90.00°
Fractional coordinates of all 28 atoms:
Ce: 0.250 0.871 0.411
Ce: 0.750 0.129 0.589
Ce: 0.750 0.629 0.911
Ce: 0.250 0.371 0.089
Ho: 0.750 0.892 0.074
Ho: 0.250 0.108 0.926
Ho: 0.250 0.608 0.574
Ho: 0.750 0.392 0.426
Ho: 0.750 0.849 0.700
Ho: 0.250 0.151 0.300
Ho: 0.250 0.651 0.200
Ho: 0.750 0.349 0.800
Se: 0.250 0.968 0.615
Se: 0.750 0.032 0.385
Se: 0.750 0.532 0.115
Se: 0.250 0.468 0.885
Se: 0.750 0.968 0.876
Se: 0.250 0.032 0.124
Se: 0.250 0.532 0.376
Se: 0.750 0.468 0.624
Se: 0.750 0.788 0.261
Se: 0.250 0.212 0.739
Se: 0.250 0.712 0.761
Se: 0.750 0.288 0.239
Se: 0.250 0.756 0.018
Se: 0.750 0.244 0.982
Se: 0.750 0.744 0.518
Se: 0.250 0.256 0.482

---

No. 11
Below is a relaxed structure of Th2AlCo5, with properties calculated at the PBE level.

As for the spin magnetization: 0.9 μB/f.u. Its total energy is -6.948 eV/atom. Its symmetry is I4mm, No. 107.

a = 5.687 Å, b = 5.687 Å, c = 5.687 Å
α = 90.79°, β = 119.55°, γ = 119.55°
Fractional coordinates of all 8 atoms:
Th: 0.500 0.247 0.747
Th: 0.500 0.747 0.247
Al: 0.000 0.957 0.957
Co: 0.429 0.716 0.716
Co: 0.000 0.716 0.288
Co: 0.000 0.288 0.716
Co: 0.571 0.288 0.288
Co: 0.000 0.262 0.262

---

No. 12
Below is a relaxed structure of LaRhSe2, with properties calculated at the PBE level.

As for the spin magnetization: 2.0 μB/f.u. As for the energy above the most stable polymorph in this dataset: 510 meV/atom. Its symmetry is R-3m, No. 166. As for the energy relative to the elements, uncorrected: -0.630 eV per atom.

a = 8.223 Å, b = 8.223 Å, c = 8.223 Å
α = 31.88°, β = 31.88°, γ = 31.88°
Fractional coordinates of all 4 atoms:
Rh: 0.000 0.000 0.000
Se: 0.897 0.897 0.897
Se: 0.103 0.103 0.103
La: 0.500 0.500 0.500

---

No. 13
Below is a relaxed structure of MgVSeBr2, with properties calculated at the PBE level.

As for the spin magnetization: 2.5 μB/f.u. As for the energy above the most stable polymorph in this dataset: 0 meV/atom. Its symmetry is P4/mmm, No. 123. As for the energy relative to the elements, uncorrected: -0.394 eV per atom.

a = 5.132 Å, b = 5.132 Å, c = 4.958 Å
α = 90.00°, β = 90.00°, γ = 90.00°
Fractional coordinates of all 5 atoms:
Mg: 0.500 0.500 0.500
Se: 0.000 0.000 0.500
Br: 0.000 0.500 0.000
Br: 0.500 0.000 0.000
V: 0.000 0.000 0.000

---

No. 14
Below is a relaxed structure of Er4Zn2Cd5, with properties calculated at the PBE level.

As for the spin magnetization: 0.0 μB/f.u. Its total energy is -2.578 eV/atom. Its symmetry is P2/m, No. 10.

a = 3.598 Å, b = 7.600 Å, c = 9.619 Å
α = 93.65°, β = 90.00°, γ = 90.00°
Fractional coordinates of all 11 atoms:
Er: 0.500 0.749 0.562
Er: 0.500 0.171 0.867
Er: 0.500 0.251 0.438
Er: 0.500 0.829 0.133
Zn: 0.000 0.061 0.630
Zn: 0.000 0.939 0.370
Cd: 0.000 0.560 0.311
Cd: 0.000 0.181 0.154
Cd: 0.000 0.500 0.000
Cd: 0.000 0.819 0.846
Cd: 0.000 0.440 0.689